[1]
## BeIr3Ru (SCAN)

Data for a crystal of BeIr3Ru relaxed with PBEsol.

Cell and atoms, written as extended XYZ:
```
5
Lattice="4.050 0.000 0.000 0.000 4.050 0.000 0.000 0.000 4.050" Properties=species:S:1:pos:R:3 pbc="T T T"
Be 0.000 0.000 0.000
Ir 0.000 0.000 2.025
Ir 0.000 2.025 0.000
Ir 2.025 0.000 0.000
Ru 2.025 2.025 2.025
```

## Properties
Crystal system: cubic
Formation energy: 0.54 eV/atom


[2]
## BeIrRu2 (SCAN)

Data for a crystal of BeIrRu2 relaxed with PBEsol.

Cell and atoms, written as extended XYZ:
```
4
Lattice="2.692 0.000 0.000 0.000 3.728 0.000 0.000 0.000 5.018" Properties=species:S:1:pos:R:3 pbc="T T T"
Be 0.000 0.000 0.000
Ir 0.000 0.000 2.509
Ru 1.346 1.864 1.180
Ru 1.346 1.864 3.838
```

## Properties
Crystal system: orthorhombic
Formation energy: -0.05 eV/atom


[3]
## Be4IrRu (SCAN)

Data for a crystal of Be4IrRu relaxed with PBEsol.

Cell and atoms, written as extended XYZ:
```
6
Lattice="0.000 3.052 3.052 3.052 0.000 3.052 3.052 3.052 0.000" Properties=species:S:1:pos:R:3 pbc="T T T"
Be 0.762 0.762 0.762
Be 2.290 2.290 0.762
Be 2.290 0.762 2.290
Be 0.762 2.290 2.290
Ir 3.052 3.052 3.052
Ru 4.578 4.578 4.578
```

## Properties
Crystal system: cubic
Formation energy: -0.49 eV/atom


[4]
## BeIrRu2 (SCAN)

Data for a crystal of BeIrRu2 relaxed with PBEsol.

Cell and atoms, written as extended XYZ:
```
4
Lattice="-1.382 2.101 4.168 1.382 -2.101 4.168 1.382 2.101 -4.168" Properties=species:S:1:pos:R:3 pbc="T T T"
Be 0.000 0.000 0.000
Ir 0.000 0.000 4.168
Ru 1.382 0.000 1.829
Ru 0.000 2.101 2.339
```

## Properties
Crystal system: orthorhombic
Formation energy: -0.17 eV/atom


[5]
## BeIrRu2 (SCAN)

Data for a crystal of BeIrRu2 relaxed with PBEsol.

Cell and atoms, written as extended XYZ:
```
4
Lattice="2.731 0.000 0.000 0.000 2.731 0.000 0.000 0.000 6.454" Properties=species:S:1:pos:R:3 pbc="T T T"
Be 0.000 0.000 0.000
Ir 1.366 1.366 1.360
Ru 0.000 0.000 3.254
Ru 1.366 1.366 5.000
```

## Properties
Crystal system: tetragonal
Formation energy: -0.27 eV/atom


[6]
## BeIrRu2 (SCAN)

Data for a crystal of BeIrRu2 relaxed with PBEsol.

Cell and atoms, written as extended XYZ:
```
4
Lattice="0.000 2.939 2.939 2.939 0.000 2.939 2.939 2.939 0.000" Properties=species:S:1:pos:R:3 pbc="T T T"
Be 0.000 0.000 0.000
Ir 1.469 1.469 1.469
Ru 2.939 2.939 2.939
Ru 4.408 4.408 4.408
```

## Properties
Crystal system: cubic
Formation energy: 0.07 eV/atom


[7]
## BeIrRuW2 (SCAN)

Data for a crystal of BeIrRuW2 relaxed with PBEsol.

Cell and atoms, written as extended XYZ:
```
5
Lattice="4.152 0.000 0.000 0.000 4.152 0.000 0.000 0.000 3.977" Properties=species:S:1:pos:R:3 pbc="T T T"
Be 0.000 0.000 0.000
Ir 2.076 2.076 1.989
Ru 0.000 0.000 1.989
W 0.000 2.076 0.000
W 2.076 0.000 0.000
```

## Properties
Crystal system: tetragonal
Formation energy: 0.53 eV/atom


[8]
## BeSiIrS2 (SCAN)

Data for a crystal of BeSiIrS2 relaxed with PBEsol.

Cell and atoms, written as extended XYZ:
```
5
Lattice="4.125 0.000 0.000 0.000 4.125 0.000 0.000 0.000 4.123" Properties=species:S:1:pos:R:3 pbc="T T T"
Be 0.000 0.000 0.000
Si 0.000 0.000 2.061
Ir 2.063 2.063 2.061
S 0.000 2.063 0.000
S 2.063 0.000 0.000
```

## Properties
Crystal system: tetragonal
E_form (uncorrected): 95 kJ per mole of atoms


[9]
## Sr2BeIrS (SCAN)

Data for a crystal of Sr2BeIrS relaxed with PBEsol.

Cell and atoms, written as extended XYZ:
```
5
Lattice="5.627 0.000 0.000 0.000 5.627 0.000 0.000 0.000 4.274" Properties=species:S:1:pos:R:3 pbc="T T T"
Sr 0.000 2.813 0.000
Sr 2.813 0.000 0.000
Be 0.000 0.000 2.137
Ir 2.813 2.813 2.137
S 2.813 2.813 0.000
```

## Properties
Crystal system: tetragonal
E_form (uncorrected): -14 kJ per mole of atoms


[10]
## BeSbIr2 (SCAN)

Data for a crystal of BeSbIr2 relaxed with PBEsol.

Cell and atoms, written as extended XYZ:
```
4
Lattice="2.885 -3.350 0.000 2.885 3.350 0.000 0.000 0.000 3.000" Properties=species:S:1:pos:R:3 pbc="T T T"
Be 0.000 0.000 0.000
Sb 2.885 0.000 0.000
Ir 1.443 1.675 1.500
Ir 1.443 -1.675 1.500
```

## Properties
Crystal system: orthorhombic
E_form (uncorrected): 6 kJ per mole of atoms


[11]
## BeSbIr (SCAN)

Data for a crystal of BeSbIr relaxed with PBEsol.

Cell and atoms, written as extended XYZ:
```
3
Lattice="0.000 2.969 2.969 2.969 0.000 2.969 2.969 2.969 0.000" Properties=species:S:1:pos:R:3 pbc="T T T"
Be 0.000 0.000 0.000
Sb 4.454 4.454 4.454
Ir 2.969 2.969 2.969
```

## Properties
Crystal system: cubic
E_form (uncorrected): 35 kJ per mole of atoms


[12]
## BeSb2IrSe (SCAN)

Data for a crystal of BeSb2IrSe relaxed with PBEsol.

Cell and atoms, written as extended XYZ:
```
5
Lattice="5.090 0.000 0.000 0.000 5.090 0.000 0.000 0.000 4.244" Properties=species:S:1:pos:R:3 pbc="T T T"
Be 0.000 0.000 0.000
Sb 0.000 2.545 2.122
Sb 2.545 0.000 2.122
Ir 0.000 0.000 2.122
Se 2.545 2.545 0.000
```

## Properties
Crystal system: tetragonal
E_form (uncorrected): 17 kJ per mole of atoms


Calculated energy (eV/cell), listed in the same order as above: -249.79 -145.32 -126.25 -145.78 -146.17 -144.81 -246.99 -99.82 -130.37 -183.56 -111.64 -169.20